# 1
Density functional theory data (PBE-GGA) for an optimized crystal structure of YNiAg2.

Properties
symmetry: R3m, No. 160

Unit cell a=5.024 b=5.024 c=5.024 alpha=54.32 beta=54.32 gamma=54.32
Element x y z (fractional)
1 Ag 0.980 0.980 0.980
2 Ag 0.229 0.229 0.229
3 Ni 0.537 0.537 0.537
4 Y 0.754 0.754 0.754

# 2
Density functional theory data (PBE-GGA) for an optimized crystal structure of YNiAg2.

Properties
symmetry: P2/m, No. 10

Unit cell a=3.929 b=4.024 c=6.288 alpha=49.75 beta=90.00 gamma=90.00
Element x y z (fractional)
1 Ag 0.000 0.000 0.000
2 Ag 0.500 0.500 0.000
3 Ni 0.500 0.500 0.500
4 Y 0.000 0.000 0.500

# 3
Density functional theory data (PBE-GGA) for an optimized crystal structure of Y8NiAg2.

Properties
symmetry: C2/m, No. 12

Unit cell a=5.229 b=6.814 c=9.153 alpha=105.96 beta=106.60 gamma=90.00
Element x y z (fractional)
1 Y 0.411 0.566 0.822
2 Y 0.658 0.969 0.316
3 Y 0.798 0.687 0.597
4 Y 0.972 0.212 0.945
5 Y 0.202 0.313 0.403
6 Y 0.342 0.031 0.684
7 Y 0.589 0.434 0.178
8 Y 0.028 0.788 0.055
9 Ni 0.500 0.000 0.000
10 Ag 0.814 0.275 0.629
11 Ag 0.186 0.725 0.371

# 4
Density functional theory data (PBE-GGA) for an optimized crystal structure of Y3NiAg.

Properties
symmetry: P-1, No. 2

Unit cell a=3.734 b=9.314 c=7.739 alpha=82.07 beta=90.00 gamma=101.58
Element x y z (fractional)
1 Y 0.402 0.804 0.072
2 Y 0.106 0.211 0.528
3 Y 0.738 0.477 0.211
4 Y 0.262 0.523 0.789
5 Y 0.598 0.196 0.928
6 Y 0.894 0.789 0.472
7 Ni 0.866 0.731 0.842
8 Ni 0.134 0.269 0.158
9 Ag 0.527 0.055 0.307
10 Ag 0.473 0.945 0.693

# 5
Density functional theory data (PBE-GGA) for an optimized crystal structure of YNiAg.

Properties
symmetry: I4mm, No. 107

Unit cell a=5.267 b=5.267 c=5.267 alpha=140.88 beta=140.91 gamma=56.50
Element x y z (fractional)
1 Ag 0.989 0.989 0.000
2 Ni 0.333 0.333 0.000
3 Y 0.678 0.678 0.000

# 6
Density functional theory data (PBE-GGA) for an optimized crystal structure of Y4Ni3Ag.

Properties
symmetry: Pmm2, No. 25

Unit cell a=3.749 b=4.455 c=10.290 alpha=90.00 beta=90.00 gamma=90.00
Element x y z (fractional)
1 Y 0.500 0.500 0.374
2 Y 0.000 0.500 0.847
3 Y 0.000 0.000 0.145
4 Y 0.500 0.000 0.637
5 Ni 0.000 0.500 0.573
6 Ni 0.000 0.000 0.429
7 Ni 0.500 0.000 0.920
8 Ag 0.500 0.500 0.074

# 7
Density functional theory data (PBE-GGA) for an optimized crystal structure of Y5Ni2Ag.

Properties
symmetry: I4/mcm, No. 140

Unit cell a=7.689 b=7.689 c=8.533 alpha=116.78 beta=116.78 gamma=90.00
Element x y z (fractional)
1 Y 0.524 0.702 0.727
2 Y 0.798 0.976 0.273
3 Y 0.000 0.000 0.000
4 Y 0.500 0.500 0.000
5 Y 0.202 0.024 0.727
6 Y 0.702 0.202 0.727
7 Y 0.024 0.524 0.727
8 Y 0.298 0.798 0.273
9 Y 0.976 0.476 0.273
10 Y 0.476 0.298 0.273
11 Ni 0.127 0.373 0.000
12 Ni 0.627 0.127 0.000
13 Ni 0.373 0.873 0.000
14 Ni 0.873 0.627 0.000
15 Ag 0.750 0.750 0.500
16 Ag 0.250 0.250 0.500

# 8
Density functional theory data (PBE-GGA) for an optimized crystal structure of Y2Ni2Ag.

Properties
symmetry: Cmmm, No. 65

Unit cell a=3.634 b=3.953 c=7.218 alpha=105.89 beta=90.00 gamma=90.00
Element x y z (fractional)
1 Y 0.500 0.634 0.269
2 Y 0.500 0.366 0.731
3 Ni 0.000 0.200 0.399
4 Ni 0.000 0.800 0.601
5 Ag 0.000 0.000 0.000

# 9
Density functional theory data (PBE-GGA) for an optimized crystal structure of Y2NiAg2.

Properties
symmetry: P4/mbm, No. 127

Unit cell a=7.271 b=7.271 c=4.221 alpha=90.00 beta=90.00 gamma=90.00
Element x y z (fractional)
1 Y 0.176 0.676 0.500
2 Y 0.676 0.824 0.500
3 Y 0.824 0.324 0.500
4 Y 0.324 0.176 0.500
5 Ni 0.000 0.000 0.000
6 Ni 0.500 0.500 0.000
7 Ag 0.366 0.866 0.000
8 Ag 0.866 0.634 0.000
9 Ag 0.634 0.134 0.000
10 Ag 0.134 0.366 0.000

# 10
Density functional theory data (PBE-GGA) for an optimized crystal structure of YNiAg2.

Properties
symmetry: P4/mmm, No. 123

Unit cell a=3.689 b=3.689 c=5.641 alpha=90.00 beta=90.00 gamma=90.00
Element x y z (fractional)
1 Ag 0.000 0.000 0.018
2 Ag 0.000 0.000 0.482
3 Ni 0.500 0.500 0.250
4 Y 0.500 0.500 0.750

# 11
Density functional theory data (PBE-GGA) for an optimized crystal structure of YNiAg.

Properties
symmetry: F-43m, No. 216

Unit cell a=4.652 b=4.652 c=4.652 alpha=60.00 beta=60.00 gamma=60.00
Element x y z (fractional)
1 Ag 0.000 0.000 0.000
2 Ni 0.500 0.500 0.500
3 Y 0.250 0.250 0.250

# 12
Density functional theory data (PBE-GGA) for an optimized crystal structure of Y6NiAg2.

Properties
symmetry: Immm, No. 71

Unit cell a=8.513 b=8.514 c=8.514 alpha=72.76 beta=69.43 gamma=110.63
Element x y z (fractional)
1 Y 0.171 0.746 0.082
2 Y 0.829 0.254 0.918
3 Y 0.171 0.254 0.575
4 Y 0.829 0.746 0.425
5 Y 0.447 0.262 0.816
6 Y 0.553 0.738 0.184
7 Y 0.078 0.262 0.184
8 Y 0.922 0.738 0.816
9 Y 0.330 0.053 0.276
10 Y 0.670 0.947 0.724
11 Y 0.330 0.606 0.724
12 Y 0.670 0.394 0.276
13 Ni 0.500 0.500 0.000
14 Ni 0.000 0.000 0.000
15 Ag 0.137 0.637 0.500
16 Ag 0.863 0.363 0.500
17 Ag 0.352 0.000 0.648
18 Ag 0.648 0.000 0.352

Number 1: calculated formation energy -0.137 eV/atom, N(E_F) 2.3 states/eV/f.u.. Number 2: calculated formation energy -0.084 eV/atom, N(E_F) 1.7 states/eV/f.u.. Number 3: calculated formation energy -0.151 eV/atom, N(E_F) 12.2 states/eV/f.u.. Number 4: calculated formation energy -0.137 eV/atom, N(E_F) 5.0 states/eV/f.u.. Number 5: calculated formation energy -0.198 eV/atom, N(E_F) 1.9 states/eV/f.u.. Number 6: calculated formation energy -0.371 eV/atom, N(E_F) 6.9 states/eV/f.u.. Number 7: calculated formation energy -0.301 eV/atom, N(E_F) 8.8 states/eV/f.u.. Number 8: calculated formation energy -0.408 eV/atom, N(E_F) 4.3 states/eV/f.u.. Number 9: calculated formation energy -0.088 eV/atom, N(E_F) 5.6 states/eV/f.u.. Number 10: calculated formation energy -0.012 eV/atom, N(E_F) 1.6 states/eV/f.u.. Number 11: calculated formation energy 0.314 eV/atom, N(E_F) 2.1 states/eV/f.u.. Number 12: calculated formation energy -0.155 eV/atom, N(E_F) 10.1 states/eV/f.u..